Entry from OQMD via LeMat-Bulk: a relaxed structure of RbNaCuAs (PBE).

The space group is Ama2 (No. 40) and the conventional cell measures 5.899, 7.485 and 9.811 Å, with angles of 90.00, 90.00 and 90.00 degrees. The inequivalent atoms are Rb at (0.250, 0.154, 0.000), Na at (0.250, 0.156, 0.342), Cu at (0.000, 0.000, 0.681) and As at (0.250, 0.242, 0.661).

The relative energy among the computed polymorphs comes out at 46.1 meV per atom.